First-principles (GGA-PBE) data for La6Tm8Sc after structural relaxation, as listed in Alexandria.

Structure (POSCAR):
```
La6Tm8Sc
1.0
-3.560 7.820 1.563
-8.676 0.451 0.893
-3.228 1.517 7.972
La Sc Tm
6 1 8
direct
0.462 0.768 0.911 La
0.232 0.089 0.538 La
0.089 0.538 0.232 La
0.911 0.462 0.768 La
0.538 0.232 0.089 La
0.768 0.911 0.462 La
0.000 0.000 0.000 Sc
0.232 0.886 0.296 Tm
0.296 0.232 0.886 Tm
0.423 0.423 0.423 Tm
0.114 0.704 0.768 Tm
0.768 0.114 0.704 Tm
0.886 0.296 0.232 Tm
0.577 0.577 0.577 Tm
0.704 0.768 0.114 Tm
```

- Energy of formation from the pure elements: 111 meV/atom

---

First-principles (GGA-PBE) data for CsS after structural relaxation, as listed in Alexandria.

Structure (POSCAR):
```
CsS
1.0
-3.150 6.343 -0.695
-1.160 -1.331 -6.894
-6.274 -2.939 1.624
Cs S
4 4
direct
0.500 0.500 0.500 Cs
0.500 0.000 0.000 Cs
0.000 0.000 0.500 Cs
0.000 0.500 0.000 Cs
0.500 0.500 0.000 S
0.000 0.000 0.000 S
0.500 0.000 0.500 S
0.000 0.500 0.500 S
```

- Raw formation energy: -364 meV per atom

---

Number 1: total DFT energy (no corrections) -4.6670 eV/atom, magnetic moment 0.000 μB per atom, density 7.526 g/cm3. Number 2: total DFT energy (no corrections) -2.8544 eV/atom, magnetic moment 0.500 μB per atom, density 3.041 g/cm3.